Density functional theory data (PBE) for a relaxed Sr12Ag5N2 crystal.

Results
Symmetry   No. 12

Cell lengths 9.6911, 9.6911, 9.9900 Å; angles 105.06, 105.06, 49.87 degrees
Last column: nearest neighbours and their distance in Å.
Positions (direct):
Sr (0.9996, 0.9996, 0.1838)  2 N 2.78
Sr (0.0004, 0.0004, 0.8162)  2 N 2.78
Sr (0.0900, 0.6005, 0.9207)  1 N 2.61
Sr (0.1027, 0.6004, 0.4279)  4 Ag 3.22-3.34
Sr (0.3996, 0.8973, 0.5721)  4 Ag 3.22-3.34
Sr (0.3995, 0.9100, 0.0793)  1 N 2.61
Sr (0.4984, 0.4984, 0.1760)  2 N 2.67
Sr (0.5016, 0.5016, 0.8240)  2 N 2.67
Sr (0.6005, 0.0900, 0.9207)  1 N 2.61
Sr (0.6004, 0.1027, 0.4279)  4 Ag 3.22-3.34
Sr (0.8973, 0.3996, 0.5721)  4 Ag 3.22-3.34
Sr (0.9100, 0.3995, 0.0793)  1 N 2.61
Ag (0.1920, 0.1920, 0.8406)  7 Sr 3.29-3.32
Ag (0.1943, 0.1943, 0.3522)  7 Sr 3.27-3.35
Ag (0.5000, 0.5000, 0.5000)  6 Sr 3.22-3.23
Ag (0.8057, 0.8057, 0.6478)  7 Sr 3.27-3.35
Ag (0.8080, 0.8080, 0.1594)  7 Sr 3.29-3.32
N (0.2558, 0.7442, 0.0000)  6 Sr 2.61-2.78
N (0.7442, 0.2558, 0.0000)  6 Sr 2.61-2.78

---

Density functional theory data (PBE) for a relaxed Sr4AgN2 crystal.

Results
Symmetry   No. 139
Distance to the lowest polymorph of the same formula   0.167 eV per atom

Cell lengths 5.9741, 5.9741, 12.7292 Å; angles 90.00, 90.00, 90.00 degrees
Last column: nearest neighbours and their distance in Å.
Positions (direct):
Sr (0.0000, 0.0000, 0.2382)  1 N 2.40
Sr (0.0000, 0.0000, 0.7618)  1 N 2.40
Sr (0.0000, 0.5000, 0.0000)  2 Ag 2.99, 4 N 3.05
Sr (0.0000, 0.5000, 0.5000)  2 Ag 2.99, 4 N 3.05
Sr (0.5000, 0.0000, 0.0000)  2 Ag 2.99, 4 N 3.05
Sr (0.5000, 0.0000, 0.5000)  2 Ag 2.99, 4 N 3.05
Sr (0.5000, 0.5000, 0.2618)  1 N 2.40
Sr (0.5000, 0.5000, 0.7382)  1 N 2.40
Ag (0.0000, 0.0000, 0.5000)  6 Sr 2.99-3.33
Ag (0.5000, 0.5000, 0.0000)  6 Sr 2.99-3.33
N (0.0000, 0.0000, 0.0496)  1 N 1.26
N (0.0000, 0.0000, 0.9504)  1 N 1.26
N (0.5000, 0.5000, 0.4504)  1 N 1.26
N (0.5000, 0.5000, 0.5496)  1 N 1.26

---

Density functional theory data (PBE) for a relaxed Sr3AgN crystal.

Results
Symmetry   No. 11
Distance to the lowest polymorph of the same formula   0.030 eV per atom

Cell lengths 7.5906, 5.3649, 8.7882 Å; angles 90.00, 109.61, 90.00 degrees
Last column: nearest neighbours and their distance in Å.
Positions (direct):
Sr (0.0350, 0.2500, 0.3944)  3 N 2.48-2.72
Sr (0.2490, 0.2500, 0.8911)  1 N 2.38
Sr (0.3254, 0.7500, 0.3163)  1 N 2.39
Sr (0.6746, 0.2500, 0.6837)  1 N 2.39
Sr (0.7510, 0.7500, 0.1089)  1 N 2.38
Sr (0.9650, 0.7500, 0.6056)  3 N 2.48-2.72
Ag (0.4460, 0.7500, 0.7325)  7 Sr 3.30-3.57
Ag (0.5540, 0.2500, 0.2675)  7 Sr 3.30-3.57
N (0.0232, 0.7500, 0.3441)  3 Sr 2.38-2.48
N (0.9768, 0.2500, 0.6559)  3 Sr 2.38-2.48

---

| no. | E (eV per atom) |
| --- | --- |
| 1 | -2.963 |
| 2 | -3.976 |
| 3 | -3.602 |